(1)
# Mg2Sc4Ir

A relaxed structure of Mg2Sc4Ir (PBE-GGA, the Alexandria database).

Calculated values
ΔH_f (0 K), eV per formula unit: -0.06
N(E_F), states/eV/f.u.: 8.492

a = 8.3363 Å, b = 8.3363 Å, c = 8.3363 Å
α = 145.00°, β = 145.00°, γ = 50.34°
Closest atoms and distances in Å follow each position.
Element x y z (fractional)
Mg (0.1280, 0.1280, 0.0000)  5 Sc 3.05-3.16
Mg (0.8720, 0.8720, 0.0000)  5 Sc 3.05-3.16
Sc (0.0000, 0.5000, 0.5000)  2 Ir 2.51
Sc (0.3301, 0.3301, 0.0000)  1 Ir 2.56
Sc (0.5000, 0.0000, 0.5000)  2 Ir 2.51
Sc (0.6699, 0.6699, 0.0000)  1 Ir 2.56
Ir (0.5000, 0.5000, 0.0000)  6 Sc 2.51-2.56


(2)
# Li2PuAgO6

A relaxed structure of Li2PuAgO6 (PBE-GGA, the Alexandria database).

Calculated values
Formation energy without anion corrections, eV per atom: -1.6220
N(E_F), states/eV/f.u.: 3.918

a = 5.7615 Å, b = 5.3113 Å, c = 9.3330 Å
α = 90.00°, β = 123.73°, γ = 90.00°
Closest atoms and distances in Å follow each position.
Element x y z (fractional)
Li (0.1649, 0.0190, 0.2182)  4 O 2.01-2.18
Li (0.1649, 0.4810, 0.7182)  4 O 2.01-2.18
Li (0.8351, 0.5190, 0.2818)  4 O 2.01-2.18
Li (0.8351, 0.9810, 0.7818)  4 O 2.01-2.18
Pu (0.5000, 0.0000, 0.0000)  2 O 1.84
Pu (0.5000, 0.5000, 0.5000)  2 O 1.84
Ag (0.0000, 0.0000, 0.5000)  4 O 2.08-2.09
Ag (0.0000, 0.5000, 0.0000)  4 O 2.08-2.09
O (0.1510, 0.1009, 0.7534)  2 Li 2.05-2.08, 1 Ag 2.09, 1 Pu 2.12
O (0.1510, 0.3991, 0.2534)  2 Li 2.05-2.08, 1 Ag 2.09, 1 Pu 2.12
O (0.2227, 0.6660, 0.5527)  1 Li 2.01, 1 Ag 2.08, 1 Pu 2.11
O (0.2227, 0.8340, 0.0527)  1 Li 2.01, 1 Ag 2.08, 1 Pu 2.11
O (0.4759, 0.1985, 0.5880)  1 Pu 1.84
O (0.4759, 0.3015, 0.0880)  1 Pu 1.84
O (0.5241, 0.6985, 0.9120)  1 Pu 1.84
O (0.5241, 0.8015, 0.4120)  1 Pu 1.84
O (0.7773, 0.1660, 0.9473)  1 Li 2.01, 1 Ag 2.08, 1 Pu 2.11
O (0.7773, 0.3340, 0.4473)  1 Li 2.01, 1 Ag 2.08, 1 Pu 2.11
O (0.8490, 0.6009, 0.7466)  2 Li 2.05-2.08, 1 Ag 2.09, 1 Pu 2.12
O (0.8490, 0.8991, 0.2466)  2 Li 2.05-2.08, 1 Ag 2.09, 1 Pu 2.12


(3)
# GaH3

A relaxed structure of GaH3 (PBE-GGA, the Alexandria database).

Calculated values
VASP energy, eV per atom: -2.7380
N(E_F), states/eV/f.u.: 0.507

a = 2.3307 Å, b = 2.7239 Å, c = 6.7978 Å
α = 90.00°, β = 90.00°, γ = 90.00°
Closest atoms and distances in Å follow each position.
Element x y z (fractional)
Ga (0.0000, 0.0000, 0.0000)  2 H 1.80
H (0.0000, 0.5000, 0.4692)  2 H 1.17
H (0.5000, 0.0000, 0.7974)  2 Ga 1.80
H (0.5000, 0.5000, 0.4700)  2 H 1.17


(4)
# Zr3Cd2N

A relaxed structure of Zr3Cd2N (PBE-GGA, the Alexandria database).

Calculated values
Formation energy without anion corrections, eV per atom: -0.6052
N(E_F), states/eV/f.u.: 6.028

a = 7.5918 Å, b = 7.5918 Å, c = 7.5918 Å
α = 90.00°, β = 90.00°, γ = 90.00°
Closest atoms and distances in Å follow each position.
Element x y z (fractional)
Zr (0.0389, 0.1250, 0.7889)  2 N 2.36
Zr (0.1250, 0.7889, 0.0389)  2 N 2.36
Zr (0.2111, 0.5389, 0.3750)  2 N 2.36
Zr (0.2889, 0.4611, 0.8750)  2 N 2.36
Zr (0.3750, 0.2111, 0.5389)  2 N 2.36
Zr (0.4611, 0.8750, 0.2889)  2 N 2.36
Zr (0.5389, 0.3750, 0.2111)  2 N 2.36
Zr (0.6250, 0.7111, 0.9611)  2 N 2.36
Zr (0.7111, 0.9611, 0.6250)  2 N 2.36
Zr (0.7889, 0.0389, 0.1250)  2 N 2.36
Zr (0.8750, 0.2889, 0.4611)  2 N 2.36
Zr (0.9611, 0.6250, 0.7111)  2 N 2.36
Cd (0.0698, 0.9302, 0.4302)  3 Cd 2.81, 3 Zr 3.11
Cd (0.1802, 0.1802, 0.1802)  3 Cd 2.81, 3 Zr 3.11
Cd (0.3198, 0.8198, 0.6802)  3 Cd 2.81, 3 Zr 3.11
Cd (0.4302, 0.0698, 0.9302)  3 Cd 2.81, 3 Zr 3.11
Cd (0.5698, 0.5698, 0.5698)  3 Cd 2.81, 3 Zr 3.11
Cd (0.6802, 0.3198, 0.8198)  3 Cd 2.81, 3 Zr 3.11
Cd (0.8198, 0.6802, 0.3198)  3 Cd 2.81, 3 Zr 3.11
Cd (0.9302, 0.4302, 0.0698)  3 Cd 2.81, 3 Zr 3.11
N (0.1250, 0.3750, 0.6250)  6 Zr 2.36
N (0.3750, 0.6250, 0.1250)  6 Zr 2.36
N (0.6250, 0.1250, 0.3750)  6 Zr 2.36
N (0.8750, 0.8750, 0.8750)  6 Zr 2.36


(5)
# K4Er3SnS8

A relaxed structure of K4Er3SnS8 (PBE-GGA, the Alexandria database).

Calculated values
Formation energy without anion corrections, eV per atom: -1.5974
N(E_F), states/eV/f.u.: 1.476

a = 8.7009 Å, b = 8.7009 Å, c = 8.7009 Å
α = 55.17°, β = 55.17°, γ = 55.17°
Closest atoms and distances in Å follow each position.
Element x y z (fractional)
K (0.0000, 0.0000, 0.0000)  6 S 3.20
K (0.0000, 0.5000, 0.5000)  6 S 3.20-3.21
K (0.5000, 0.0000, 0.5000)  6 S 3.20-3.21
K (0.5000, 0.5000, 0.0000)  6 S 3.20-3.21
Er (0.0000, 0.0000, 0.5000)  6 S 2.74-2.75
Er (0.0000, 0.5000, 0.0000)  6 S 2.74-2.75
Er (0.5000, 0.0000, 0.0000)  6 S 2.74-2.75
Sn (0.5000, 0.5000, 0.5000)  6 S 2.76
S (0.2311, 0.7342, 0.7342)  2 Er 2.74, 1 Sn 2.76
S (0.2336, 0.2336, 0.2336)  3 Er 2.75
S (0.2658, 0.2658, 0.7689)  2 Er 2.74, 1 Sn 2.76
S (0.2658, 0.7689, 0.2658)  2 Er 2.74, 1 Sn 2.76
S (0.7342, 0.2311, 0.7342)  2 Er 2.74, 1 Sn 2.76
S (0.7342, 0.7342, 0.2311)  2 Er 2.74, 1 Sn 2.76
S (0.7664, 0.7664, 0.7664)  3 Er 2.75
S (0.7689, 0.2658, 0.2658)  2 Er 2.74, 1 Sn 2.76


(6)
# Tb3Ga4Ir2

A relaxed structure of Tb3Ga4Ir2 (PBE-GGA, the Alexandria database).

Calculated values
ΔH_f (0 K), eV per formula unit: -6.63
N(E_F), states/eV/f.u.: 5.080

a = 5.8150 Å, b = 5.8150 Å, c = 8.3120 Å
α = 107.97°, β = 107.97°, γ = 43.94°
Closest atoms and distances in Å follow each position.
Element x y z (fractional)
Tb (0.0000, 0.0000, 0.0000)  8 Ga 3.13-3.26
Tb (0.3705, 0.3705, 0.3091)  7 Ga 2.99-3.13, 4 Ir 3.05-3.21
Tb (0.6295, 0.6295, 0.6909)  7 Ga 2.99-3.13, 4 Ir 3.05-3.21
Ga (0.0921, 0.0921, 0.4110)  3 Ir 2.48-2.62
Ga (0.2791, 0.2791, 0.9278)  1 Ir 2.50, 2 Ga 2.66
Ga (0.7209, 0.7209, 0.0722)  1 Ir 2.50, 2 Ga 2.66
Ga (0.9079, 0.9079, 0.5890)  3 Ir 2.48-2.62
Ir (0.3232, 0.3232, 0.6507)  4 Ga 2.48-2.62
Ir (0.6768, 0.6768, 0.3493)  4 Ga 2.48-2.62


(7)
# NaTlGe

A relaxed structure of NaTlGe (PBE-GGA, the Alexandria database).

Calculated values
ΔH_f (0 K), eV per formula unit: 0.06
N(E_F), states/eV/f.u.: 0.942

a = 4.9890 Å, b = 5.6683 Å, c = 7.0015 Å
α = 67.83°, β = 89.80°, γ = 64.55°
Closest atoms and distances in Å follow each position.
Element x y z (fractional)
Na (0.1895, 0.1138, 0.1418)  3 Ge 3.04-3.16, 2 Tl 3.24-3.27
Na (0.8105, 0.8862, 0.8582)  3 Ge 3.04-3.16, 2 Tl 3.24-3.27
Tl (0.4283, 0.6538, 0.6740)  5 Ge 3.11-3.44, 3 Na 3.24-3.48, 1 Tl 3.41
Tl (0.5717, 0.3462, 0.3260)  5 Ge 3.11-3.44, 3 Na 3.24-3.48, 1 Tl 3.41
Ge (0.1130, 0.2857, 0.6699)  1 Ge 2.48
Ge (0.8870, 0.7143, 0.3301)  1 Ge 2.48


(8)
# ErMnCd

A relaxed structure of ErMnCd (PBE-GGA, the Alexandria database).

Calculated values
ΔH_f (0 K), eV per formula unit: 0.45
N(E_F), states/eV/f.u.: 2.320

a = 12.4144 Å, b = 12.4144 Å, c = 12.4144 Å
α = 16.60°, β = 16.60°, γ = 16.60°
Closest atoms and distances in Å follow each position.
Element x y z (fractional)
Er (0.0989, 0.0989, 0.0989)  4 Mn 2.76-3.03
Er (0.9011, 0.9011, 0.9011)  4 Mn 2.76-3.03
Mn (0.1741, 0.1741, 0.1741)  3 Mn 2.14
Mn (0.8259, 0.8259, 0.8259)  3 Mn 2.14
Cd (0.3028, 0.3028, 0.3028)  3 Cd 3.05, 3 Er 3.25
Cd (0.6972, 0.6972, 0.6972)  3 Cd 3.05, 3 Er 3.25


(9)
# Ho5Os2O12

A relaxed structure of Ho5Os2O12 (PBE-GGA, the Alexandria database).

Calculated values
Formation energy without anion corrections, eV per atom: -2.7302
N(E_F), states/eV/f.u.: 6.010

a = 6.8566 Å, b = 6.8566 Å, c = 7.4631 Å
α = 106.01°, β = 106.01°, γ = 48.59°
Closest atoms and distances in Å follow each position.
Element x y z (fractional)
Ho (0.0000, 0.0000, 0.0000)  6 O 2.20-2.31
Ho (0.3007, 0.3007, 0.1415)  7 O 2.26-2.44
Ho (0.3119, 0.3119, 0.6716)  7 O 2.25-2.45
Ho (0.6881, 0.6881, 0.3284)  7 O 2.25-2.45
Ho (0.6993, 0.6993, 0.8585)  7 O 2.26-2.44
Os (0.2193, 0.7807, 0.5000)  6 O 1.97-2.05
Os (0.7807, 0.2193, 0.5000)  6 O 1.97-2.05
O (0.0013, 0.0013, 0.2959)  2 Os 1.97
O (0.0867, 0.5797, 0.4136)  1 Os 2.00
O (0.0987, 0.5958, 0.9274)  4 Ho 2.26-2.33
O (0.4042, 0.9013, 0.0726)  4 Ho 2.26-2.33
O (0.4203, 0.9133, 0.5864)  1 Os 2.00
O (0.4991, 0.4991, 0.3247)  2 Os 2.05
O (0.5009, 0.5009, 0.6753)  2 Os 2.05
O (0.5797, 0.0867, 0.4136)  1 Os 2.00
O (0.5958, 0.0987, 0.9274)  4 Ho 2.26-2.33
O (0.9013, 0.4042, 0.0726)  4 Ho 2.26-2.33
O (0.9133, 0.4203, 0.5864)  1 Os 2.00
O (0.9987, 0.9987, 0.7041)  2 Os 1.97


(10)
# Tb4DyRu2

A relaxed structure of Tb4DyRu2 (PBE-GGA, the Alexandria database).

Calculated values
ΔH_f (0 K), eV per formula unit: -1.62
N(E_F), states/eV/f.u.: 6.724

a = 7.8062 Å, b = 6.3747 Å, c = 7.8939 Å
α = 90.00°, β = 112.60°, γ = 90.00°
Closest atoms and distances in Å follow each position.
Element x y z (fractional)
Tb (0.1232, 0.2500, 0.4792)  2 Ru 2.70-2.80
Tb (0.1769, 0.7500, 0.2547)  2 Ru 2.72-2.92
Tb (0.2576, 0.5015, 0.9141)  4 Ru 2.96-3.06, 2 Tb 3.17-3.21
Tb (0.2576, 0.9985, 0.9141)  4 Ru 2.96-3.06, 2 Tb 3.17-3.21
Tb (0.7424, 0.0015, 0.0859)  4 Ru 2.96-3.06, 2 Tb 3.17-3.21
Tb (0.7424, 0.4985, 0.0859)  4 Ru 2.96-3.06, 2 Tb 3.17-3.21
Tb (0.8231, 0.2500, 0.7453)  2 Ru 2.72-2.92
Tb (0.8768, 0.7500, 0.5208)  2 Ru 2.70-2.80
Dy (0.4728, 0.2500, 0.3359)  1 Ru 2.82
Dy (0.5272, 0.7500, 0.6641)  1 Ru 2.82
Ru (0.0881, 0.2500, 0.1257)  4 Tb 2.70-2.97, 1 Dy 2.82
Ru (0.4793, 0.2500, 0.7567)  4 Tb 2.72-2.96
Ru (0.5207, 0.7500, 0.2433)  4 Tb 2.72-2.96
Ru (0.9119, 0.7500, 0.8743)  4 Tb 2.70-2.97, 1 Dy 2.82


(11)
# KUGa2I8

A relaxed structure of KUGa2I8 (PBE-GGA, the Alexandria database).

Calculated values
Formation energy without anion corrections, eV per atom: -0.7174
N(E_F), states/eV/f.u.: 0.081

a = 7.4016 Å, b = 7.9604 Å, c = 9.8466 Å
α = 90.05°, β = 90.12°, γ = 90.79°
Closest atoms and distances in Å follow each position.
Element x y z (fractional)
K (0.0000, 0.0000, 0.0000)  6 I 3.50-3.57
U (0.0000, 0.0000, 0.5000)  6 I 2.92-2.96
Ga (0.4995, 0.5000, 0.7784)  2 I 2.99
Ga (0.5005, 0.5000, 0.2216)  2 I 2.99
I (0.2169, 0.6970, 0.4994)  1 U 2.92
I (0.2408, 0.1493, 0.2916)  1 U 2.96
I (0.2418, 0.1481, 0.7094)  1 U 2.96
I (0.2746, 0.6453, 0.0001)  2 Ga 2.99
I (0.7254, 0.3547, 0.9999)  2 Ga 2.99
I (0.7582, 0.8519, 0.2906)  1 U 2.96
I (0.7592, 0.8507, 0.7084)  1 U 2.96
I (0.7831, 0.3030, 0.5006)  1 U 2.92


N(E_F) of number 5 (K4Er3SnS8)?
1.476 states/eV/f.u.


What is the formula in the seventh record?
NaTlGe


Which of these has the highest N(E_F)?
Mg2Sc4Ir